[1]
Entry from Alexandria via LeMat-Bulk: an optimized crystal structure of Ta2AlCo (PBE).

## Properties
symmetry	F-43m, No. 216
E_form	0.104	eV per atom
V	15.78	Å³/atom

Lattice parameters (Å, degrees): 4.469 4.469 4.469 60.00 60.00 60.00
Site moments in Bohr magnetons follow the coordinates.
Positions (direct):
Al 0.500 0.500 0.500  0.00
Ta 0.000 0.000 0.000  0.21
Ta 0.250 0.250 0.250  0.74
Co 0.750 0.750 0.750  1.00


[2]
Entry from Alexandria via LeMat-Bulk: an optimized crystal structure of TaAlCo2 (PBE).

## Properties
symmetry	Cm, No. 8
E_form	-0.303	eV per atom
V	13.36	Å³/atom

Lattice parameters (Å, degrees): 4.688 4.688 4.169 75.21 75.21 37.28
Positions (direct):
Ta 0.504 0.504 0.445
Co 0.244 0.244 0.306
Co 0.010 0.010 0.936
Al 0.742 0.742 0.813


[3]
Entry from Alexandria via LeMat-Bulk: an optimized crystal structure of Ta2Al2Co (PBE).

## Properties
symmetry	P4/mbm, No. 127
E_form	-0.139	eV per atom
V	15.57	Å³/atom

Lattice parameters (Å, degrees): 6.151 6.151 4.114 90.00 90.00 90.00
Positions (direct):
Ta 0.662 0.838 0.500
Ta 0.838 0.338 0.500
Ta 0.162 0.662 0.500
Ta 0.338 0.162 0.500
Al 0.146 0.354 0.000
Al 0.354 0.854 0.000
Al 0.646 0.146 0.000
Al 0.854 0.646 0.000
Co 0.000 0.000 0.000
Co 0.500 0.500 0.000


[4]
Entry from Alexandria via LeMat-Bulk: an optimized crystal structure of Ta2AlCo (PBE).

## Properties
symmetry	I4/mmm, No. 139
E_form	-0.117	eV per atom
V	15.57	Å³/atom

Lattice parameters (Å, degrees): 4.839 4.839 4.839 131.47 131.47 71.07
Site moments in Bohr magnetons follow the coordinates.
Positions (direct):
Al 0.250 0.750 0.500  0.00
Ta 0.000 0.000 0.000  0.08
Ta 0.500 0.500 0.000  0.08
Co 0.750 0.250 0.500  0.98


[5]
Entry from Alexandria via LeMat-Bulk: an optimized crystal structure of TaAlCo2 (PBE).

## Properties
symmetry	Imm2, No. 44
E_form	-0.268	eV per atom
V	13.23	Å³/atom

Lattice parameters (Å, degrees): 4.863 4.863 4.863 140.11 133.42 62.96
Positions (direct):
Ta 0.505 0.505 0.000
Co 0.745 0.245 0.500
Co 0.005 0.005 0.000
Al 0.244 0.744 0.500


[6]
Entry from Alexandria via LeMat-Bulk: an optimized crystal structure of TaAl2Co (PBE).

## Properties
symmetry	R3m, No. 160
E_form	-0.072	eV per atom
V	15.16	Å³/atom

Lattice parameters (Å, degrees): 8.828 8.828 8.828 18.52 18.52 18.52
Positions (direct):
Al 0.242 0.242 0.242
Al 0.999 0.999 0.999
Ta 0.757 0.757 0.757
Co 0.503 0.503 0.503


[7]
Entry from Alexandria via LeMat-Bulk: an optimized crystal structure of TaAl2Co (PBE).

## Properties
symmetry	I4/mmm, No. 139
E_form	-0.091	eV per atom
V	14.69	Å³/atom

Lattice parameters (Å, degrees): 4.848 4.848 4.848 133.59 133.59 67.73
Site moments in Bohr magnetons follow the coordinates.
Positions (direct):
Co 0.250 0.750 0.500  0.41
Ta 0.750 0.250 0.500  0.07
Al 0.500 0.500 0.000  0.00
Al 0.000 0.000 0.000  0.00


[8]
Entry from Alexandria via LeMat-Bulk: an optimized crystal structure of TaAlCo2 (PBE).

## Properties
symmetry	Pm, No. 6
E_form	-0.239	eV per atom
V	13.37	Å³/atom

Lattice parameters (Å, degrees): 4.053 2.848 4.812 74.37 90.00 90.00
Positions (direct):
Co 0.000 0.188 0.961
Co 0.500 0.057 0.275
Al 0.500 0.772 0.820
Ta 0.000 0.484 0.444


[9]
Entry from Alexandria via LeMat-Bulk: an optimized crystal structure of Ta2AlCo (PBE).

## Properties
symmetry	Cmmm, No. 65
E_form	-0.108	eV per atom
V	15.50	Å³/atom

Lattice parameters (Å, degrees): 4.818 4.818 2.824 90.05 90.05 108.91
Site moments in Bohr magnetons follow the coordinates.
Positions (direct):
Al 0.500 0.000 0.500  0.00
Ta 0.500 0.500 0.000  0.00
Ta 0.000 0.000 0.000  0.00
Co 0.000 0.500 0.500  0.46


[10]
Entry from Alexandria via LeMat-Bulk: an optimized crystal structure of TaAl2Co (PBE).

## Properties
symmetry	P2/m, No. 10
E_form	-0.203	eV per atom
V	14.66	Å³/atom

Lattice parameters (Å, degrees): 4.062 2.829 5.229 77.40 90.00 90.00
Positions (direct):
Ta 0.500 0.750 0.750
Al 0.000 0.399 0.482
Al 0.000 0.101 0.018
Co 0.500 0.250 0.250


[11]
Entry from Alexandria via LeMat-Bulk: an optimized crystal structure of TaAlCo4 (PBE).

## Properties
symmetry	F-43m, No. 216
E_form	-0.248	eV per atom
V	12.24	Å³/atom

Lattice parameters (Å, degrees): 4.701 4.701 4.701 60.00 60.00 60.00
Site moments in Bohr magnetons follow the coordinates.
Positions (direct):
Co 0.626 0.626 0.626  0.63
Co 0.626 0.123 0.626  0.63
Co 0.626 0.626 0.123  0.63
Co 0.123 0.626 0.626  0.63
Ta 0.250 0.250 0.250  -0.16
Al 0.000 0.000 0.000  0.00


[12]
Entry from Alexandria via LeMat-Bulk: an optimized crystal structure of Ta2AlCo (PBE).

## Properties
symmetry	R-3m, No. 166
E_form	0.081	eV per atom
V	15.95	Å³/atom

Lattice parameters (Å, degrees): 9.135 9.135 9.135 18.04 18.04 18.04
Site moments in Bohr magnetons follow the coordinates.
Positions (direct):
Ta 0.495 0.495 0.495  -0.02
Ta 0.005 0.005 0.005  -0.02
Al 0.250 0.250 0.250  0.00
Co 0.750 0.750 0.750  0.51


[13]
Entry from Alexandria via LeMat-Bulk: an optimized crystal structure of TaAl2Co (PBE).

## Properties
symmetry	P4/mmm, No. 123
E_form	-0.271	eV per atom
V	14.48	Å³/atom

Lattice parameters (Å, degrees): 3.855 3.856 3.896 90.00 90.00 90.00
Site moments in Bohr magnetons follow the coordinates.
Positions (direct):
Al 0.000 0.000 0.000  0.00
Al 0.500 0.500 0.000  0.00
Ta 0.000 0.500 0.500  0.02
Co 0.500 0.000 0.500  0.40


[14]
Entry from Alexandria via LeMat-Bulk: an optimized crystal structure of TaAl2Co (PBE).

## Properties
symmetry	Immm, No. 71
E_form	-0.207	eV per atom
V	14.69	Å³/atom

Lattice parameters (Å, degrees): 5.260 5.260 4.671 63.61 63.61 30.83
Positions (direct):
Ta 0.250 0.250 0.250
Al 0.028 0.028 0.972
Al 0.472 0.472 0.528
Co 0.750 0.750 0.750


[15]
Entry from Alexandria via LeMat-Bulk: an optimized crystal structure of Ta4AlCo (PBE).

## Properties
symmetry	F-43m, No. 216
E_form	0.526	eV per atom
V	18.21	Å³/atom

Lattice parameters (Å, degrees): 5.366 5.366 5.366 60.00 60.00 60.00
Site moments in Bohr magnetons follow the coordinates.
Positions (direct):
Ta 0.376 0.376 0.873  -0.04
Ta 0.376 0.873 0.376  -0.04
Ta 0.873 0.376 0.376  -0.04
Ta 0.376 0.376 0.376  -0.04
Al 0.750 0.750 0.750  0.00
Co 0.000 0.000 0.000  1.18


[16]
Entry from Alexandria via LeMat-Bulk: an optimized crystal structure of TaAl2Co (PBE).

## Properties
symmetry	Amm2, No. 38
E_form	-0.179	eV per atom
V	14.76	Å³/atom

Lattice parameters (Å, degrees): 4.073 2.859 5.268 74.29 90.00 90.00
Positions (direct):
Al 0.000 0.050 0.026
Al 0.500 0.437 0.250
Ta 0.500 0.703 0.720
Co 0.000 0.311 0.505


[17]
Entry from Alexandria via LeMat-Bulk: an optimized crystal structure of TaAl2Co (PBE).

## Properties
symmetry	I-4m2, No. 119
E_form	-0.197	eV per atom
V	14.56	Å³/atom

Lattice parameters (Å, degrees): 4.790 4.790 4.790 132.72 132.72 69.10
Positions (direct):
Ta 0.750 0.250 0.500
Co 0.500 0.500 0.000
Al 0.000 0.000 0.000
Al 0.250 0.750 0.500


[18]
Entry from Alexandria via LeMat-Bulk: an optimized crystal structure of TaAl2Co (PBE).

## Properties
symmetry	P4/mmm, No. 123
E_form	-0.432	eV per atom
V	14.11	Å³/atom

Lattice parameters (Å, degrees): 2.863 2.863 6.887 90.00 90.00 90.00
Positions (direct):
Ta 0.500 0.500 0.750
Al 0.000 0.000 0.045
Al 0.000 0.000 0.455
Co 0.500 0.500 0.250


[19]
Entry from Alexandria via LeMat-Bulk: an optimized crystal structure of Ta4AlCo (PBE).

## Properties
symmetry	P4/mcc, No. 124
E_form	-0.202	eV per atom
V	16.61	Å³/atom

Lattice parameters (Å, degrees): 5.046 6.286 6.286 90.00 90.00 90.00
Positions (direct):
Ta 0.000 0.172 0.644
Ta 0.500 0.356 0.828
Ta 0.500 0.828 0.644
Ta 0.000 0.356 0.172
Ta 0.500 0.172 0.356
Ta 0.000 0.828 0.356
Ta 0.500 0.644 0.172
Ta 0.000 0.644 0.828
Al 0.250 0.000 0.000
Al 0.750 0.000 0.000
Co 0.250 0.500 0.500
Co 0.750 0.500 0.500


[20]
Entry from Alexandria via LeMat-Bulk: an optimized crystal structure of Ta2AlCo (PBE).

## Properties
symmetry	I-4m2, No. 119
E_form	-0.082	eV per atom
V	15.51	Å³/atom

Lattice parameters (Å, degrees): 5.138 5.138 5.138 137.13 137.13 62.24
Positions (direct):
Ta 0.000 0.000 0.000
Ta 0.250 0.750 0.500
Al 0.500 0.500 0.000
Co 0.750 0.250 0.500